A plane-wave DFT calculation with PBE was carried out for a relaxed structure of La4ScP.

* calculated formation energy: 2.32 eV per formula unit

The structure in extended XYZ format:
```
6
Lattice="0.000 4.530 4.530 4.530 0.000 4.530 4.530 4.530 0.000" Properties=species:S:1:pos:R:3 pbc="T T T"
La 3.406 3.406 3.406
La 5.655 5.655 3.406
La 5.655 3.406 5.655
La 3.406 5.655 5.655
Sc 6.796 6.796 6.796
P 0.000 0.000 0.000
```

---

A plane-wave DFT calculation with PBE was carried out for a relaxed structure of LaSc2P.

* calculated formation energy: -1.31 eV per formula unit

The structure in extended XYZ format:
```
4
Lattice="-2.176 2.176 4.711 2.176 -2.176 4.711 2.176 2.176 -4.711" Properties=species:S:1:pos:R:3 pbc="T T T"
La 0.000 0.000 0.000
Sc 0.000 0.000 4.711
Sc 0.000 2.176 2.355
P 2.176 0.000 2.355
```

---

A plane-wave DFT calculation with PBE was carried out for a relaxed structure of LaSc2P.

* calculated formation energy: -2.65 eV per formula unit

The structure in extended XYZ format:
```
4
Lattice="1.833 1.058 8.843 -1.833 1.058 8.843 0.000 -2.117 8.843" Properties=species:S:1:pos:R:3 pbc="T T T"
La 0.000 0.000 0.000
Sc 0.000 0.000 5.893
Sc 0.000 0.000 20.637
P 0.000 0.000 13.265
```

---

A plane-wave DFT calculation with PBE was carried out for a relaxed structure of La2ScP4.

* calculated formation energy: -6.20 eV per formula unit

The structure in extended XYZ format:
```
7
Lattice="-2.439 2.439 7.337 2.439 -2.439 7.337 2.439 2.439 -7.337" Properties=species:S:1:pos:R:3 pbc="T T T"
La 0.000 0.000 1.907
La 0.000 0.000 12.766
Sc 0.000 0.000 7.337
P 2.439 0.000 0.000
P 0.000 0.000 4.773
P 0.000 2.439 0.000
P 0.000 0.000 9.900
```

---

A plane-wave DFT calculation with PBE was carried out for a relaxed structure of LaScP3.

* relative energy among the computed polymorphs: 0.000 eV per atom
* calculated formation energy: -2.85 eV per formula unit

The structure in extended XYZ format:
```
5
Lattice="4.891 0.000 0.000 0.000 4.891 0.000 0.000 0.000 4.891" Properties=species:S:1:pos:R:3 pbc="T T T"
La 0.000 0.000 0.000
Sc 2.445 2.445 2.445
P 0.000 2.445 2.445
P 2.445 0.000 2.445
P 2.445 2.445 0.000
```

---

A plane-wave DFT calculation with PBE was carried out for a relaxed structure of LaSc2P.

* calculated formation energy: -2.21 eV per formula unit

The structure in extended XYZ format:
```
4
Lattice="3.467 0.000 0.000 0.000 3.467 0.000 0.000 0.000 7.504" Properties=species:S:1:pos:R:3 pbc="T T T"
La 0.000 0.000 0.000
Sc 1.734 1.734 2.375
Sc 1.734 1.734 5.129
P 0.000 0.000 3.752
```

---

Q: Among the records above, which one has the highest calculated formation energy?
A: La4ScP